# 1
MgUTcIr (PBE, optimized geometry); space-group type = F-43m; ΔE_f = -0.216 eV/atom
1.0
-3.4258 1.1900 2.8970
-3.1801 -3.1421 1.2485
-0.0513 -1.6532 4.3369
U Mg Ir Tc
1 1 1 1
Cartesian
-1.6643 -0.9014 2.1206
-4.9929 -2.7041 6.3618
0.0000 0.0000 0.0000
-3.3286 -1.8027 4.2412


# 2
MgTcIrW (PBE, optimized geometry); space-group type = F-43m; ΔE_f = -0.183 eV/atom
1.0
-1.3753 -3.8067 1.7497
0.9593 -3.8157 -1.9911
2.9094 -2.7674 1.8224
Ir Mg Tc W
1 1 1 1
Cartesian
1.8700 -7.7923 1.1857
1.2467 -5.1949 0.7905
0.6233 -2.5974 0.3952
0.0000 0.0000 0.0000


# 3
MgZrTcIr (PBE, optimized geometry); space-group type = F-43m; ΔE_f = -0.303 eV/atom
1.0
-2.3723 -3.0669 2.3910
-0.0393 -4.3657 -1.2996
2.1815 -3.1351 2.4824
Ir Zr Tc Mg
1 1 1 1
Cartesian
-0.1726 -7.9258 2.6803
-0.1150 -5.2838 1.7869
-0.0575 -2.6419 0.8934
0.0000 0.0000 0.0000


# 4
MgTeIr2 (PBE, optimized geometry); space-group type = R-3m; E_form (uncorrected) = 0.20 eV per atom; offset from the most stable computed form = 0.88 eV/f.u.
1.0
8.7973 -0.0498 -0.0293
8.2821 2.9670 -0.0293
8.2821 1.4146 2.6082
Ir Mg Te
2 1 1
Cartesian
12.6774 2.1653 1.2745
0.0033 0.0006 0.0003
6.3404 1.0830 0.6374
19.0211 3.2489 1.9122


# 5
Mg2TeIr (PBE, optimized geometry); space-group type = Cmmm; E_form (uncorrected) = -0.16 eV per atom
1.0
4.7729 0.0887 0.0000
-1.1390 4.6359 0.0000
0.0000 0.0000 3.4274
Mg Ir Te
2 1 1
Cartesian
1.8170 2.3623 0.0000
0.0000 0.0000 0.0000
-0.5695 2.3179 1.7137
2.3865 0.0444 1.7137


# 6
MgTeIr2 (PBE, optimized geometry); space-group type = C2/m; E_form (uncorrected) = 0.05 eV per atom; offset from the most stable computed form = 0.29 eV/f.u.
1.0
4.7109 -0.0100 0.0097
3.7088 2.9047 0.0097
0.8612 0.2961 4.9660
Ir Mg Te
2 1 1
Cartesian
4.6317 1.5924 2.5175
0.8699 0.2991 4.9411
6.9607 2.3931 3.7391
2.3202 0.7977 1.2464


# 7
MgTe2Ir (PBE, optimized geometry); space-group type = Immm; E_form (uncorrected) = -0.31 eV per atom
1.0
6.8941 -0.0013 0.0001
4.4164 5.2937 -0.0001
-5.4723 -3.0371 2.8910
Te Mg Ir
2 1 1
Cartesian
1.1385 0.5327 0.0000
4.5167 2.1135 0.0000
3.5385 -0.1961 1.4455
2.2997 2.4514 1.4454


# 8
MgTeIr2 (PBE, optimized geometry); space-group type = F-43m; E_form (uncorrected) = 0.36 eV per atom; offset from the most stable computed form = 1.52 eV/f.u.
1.0
-1.1197 -2.1762 -3.9267
-0.1013 -4.6238 -0.1346
-4.0470 -2.2163 -0.3437
Ir Te Mg
2 1 1
Cartesian
-1.3170 -2.2541 -1.1012
0.0000 0.0000 0.0000
-3.9510 -6.7622 -3.3037
-2.6340 -4.5081 -2.2025


What is the formula in the fourth record?
MgTeIr2